# 1
A plane-wave DFT calculation with GGA-PBE was carried out for crystalline PmTh2Te4 at its relaxed geometry.

```
PmTh2Te4
1.0
2.116 -7.084 0.000
2.116 7.084 0.000
0.000 0.000 15.929
Pm Th Te
2 4 8
direct
0.106 0.894 0.750
0.894 0.106 0.250
0.351 0.649 0.562
0.351 0.649 0.938
0.649 0.351 0.062
0.649 0.351 0.438
0.000 0.000 0.000
0.000 0.000 0.500
0.296 0.704 0.132
0.296 0.704 0.368
0.438 0.562 0.750
0.562 0.438 0.250
0.704 0.296 0.632
0.704 0.296 0.868
```

**Total magnetic moment**: 0.000 μB per atom
**Space group**: Cmcm
**Total DFT energy (no corrections)**: -5.756 eV per atom
**DOS at the Fermi energy**: 0.7340 states/eV/atom



# 2
A plane-wave DFT calculation with GGA-PBE was carried out for crystalline MgRe3 at its relaxed geometry.

```
MgRe3
1.0
6.230 0.000 0.000
0.000 6.230 0.000
0.000 0.000 6.230
Mg Re
4 12
direct
0.000 0.000 0.000
0.000 0.500 0.500
0.500 0.000 0.500
0.500 0.500 0.000
0.000 0.000 0.500
0.000 0.500 0.000
0.250 0.250 0.250
0.250 0.250 0.750
0.250 0.750 0.250
0.250 0.750 0.750
0.500 0.000 0.000
0.500 0.500 0.500
0.750 0.250 0.250
0.750 0.250 0.750
0.750 0.750 0.250
0.750 0.750 0.750
```

**Total magnetic moment**: 0.000 μB per atom
**Space group**: Fm-3m
**E_form**: 99.9 kJ/mol of formula units
**Excess energy over the best structure of this formula in the dataset**: 0.32 eV per formula unit
**Total DFT energy (no corrections)**: -9.476 eV per atom
**DOS at the Fermi energy**: 0.7055 states/eV/atom



# 3
A plane-wave DFT calculation with GGA-PBE was carried out for crystalline LaPr5NdTm2 at its relaxed geometry.

```
LaPr5NdTm2
1.0
2.886 -10.314 0.000
2.886 10.314 0.000
0.000 0.000 10.717
La Pr Nd Tm
2 10 2 4
direct
0.084 0.916 0.500
0.916 0.084 0.000
0.025 0.975 0.796
0.111 0.889 0.083
0.206 0.794 0.759
0.220 0.780 0.367
0.484 0.516 0.080
0.516 0.484 0.580
0.780 0.220 0.867
0.794 0.206 0.259
0.889 0.111 0.583
0.975 0.025 0.296
0.302 0.698 0.067
0.698 0.302 0.567
0.383 0.617 0.379
0.388 0.612 0.789
0.612 0.388 0.289
0.617 0.383 0.879
```

**Total magnetic moment**: 0.000 μB per atom
**Space group**: Cmc2_1
**E_form**: 126.6 kJ/mol of formula units
**Total DFT energy (no corrections)**: -4.580 eV per atom
**DOS at the Fermi energy**: 1.5233 states/eV/atom



# 4
A plane-wave DFT calculation with GGA-PBE was carried out for crystalline Sr5Li12Cd2 at its relaxed geometry.

```
Sr5Li12Cd2
1.0
8.508 -4.124 0.000
8.508 4.124 0.000
-0.301 0.000 7.839
Sr Li Cd
5 12 2
direct
0.000 0.000 0.000
0.240 0.240 0.936
0.301 0.301 0.451
0.699 0.699 0.549
0.760 0.760 0.064
0.072 0.684 0.726
0.079 0.079 0.584
0.227 0.601 0.163
0.316 0.928 0.274
0.399 0.773 0.837
0.446 0.446 0.828
0.554 0.554 0.172
0.601 0.227 0.163
0.684 0.072 0.726
0.773 0.399 0.837
0.921 0.921 0.416
0.928 0.316 0.274
0.316 0.684 0.500
0.684 0.316 0.500
```

**Total magnetic moment**: 0.000 μB per atom
**Space group**: C2/m
**E_form**: -24.3 kJ/mol of formula units
**Total DFT energy (no corrections)**: -1.761 eV per atom
**DOS at the Fermi energy**: 0.6711 states/eV/atom



# 5
A plane-wave DFT calculation with GGA-PBE was carried out for crystalline Dy7TlZn4 at its relaxed geometry.

```
Dy7TlZn4
1.0
7.007 -2.840 0.000
7.007 2.840 0.000
-4.375 0.000 7.790
Dy Tl Zn
7 1 4
direct
0.000 0.000 0.000
0.222 0.222 0.682
0.316 0.316 0.125
0.423 0.423 0.592
0.577 0.577 0.408
0.684 0.684 0.875
0.778 0.778 0.318
0.500 0.500 0.000
0.016 0.016 0.671
0.188 0.188 0.335
0.812 0.812 0.665
0.984 0.984 0.329
```

**Total magnetic moment**: 0.000 μB per atom
**Space group**: C2/m
**E_form**: -117.6 kJ/mol of formula units
**Total DFT energy (no corrections)**: -3.408 eV per atom
**DOS at the Fermi energy**: 0.9303 states/eV/atom



# 6
A plane-wave DFT calculation with GGA-PBE was carried out for crystalline KCu4As2 at its relaxed geometry.

```
KCu4As2
1.0
4.094 0.000 0.000
0.000 15.602 0.000
0.000 0.000 4.153
K Cu As
2 8 4
direct
0.000 0.000 0.000
0.500 0.500 0.000
0.000 0.203 0.500
0.000 0.303 0.000
0.000 0.697 0.000
0.000 0.797 0.500
0.500 0.197 0.000
0.500 0.297 0.500
0.500 0.703 0.500
0.500 0.803 0.000
0.000 0.379 0.500
0.000 0.621 0.500
0.500 0.121 0.500
0.500 0.879 0.500
```

**Total magnetic moment**: 0.000 μB per atom
**Space group**: Cmmm
**E_form**: -99.3 kJ/mol of formula units
**Excess energy over the best structure of this formula in the dataset**: 0.30 eV per formula unit
**Total DFT energy (no corrections)**: -3.973 eV per atom
**DOS at the Fermi energy**: 0.2969 states/eV/atom



# 7
A plane-wave DFT calculation with GGA-PBE was carried out for crystalline Ti6MoIr5 at its relaxed geometry.

```
Ti6MoIr5
1.0
2.167 -6.495 0.000
2.167 6.495 0.000
0.000 0.000 6.445
Ti Mo Ir
6 1 5
direct
0.000 0.000 0.245
0.000 0.000 0.755
0.334 0.666 0.247
0.334 0.666 0.753
0.666 0.334 0.247
0.666 0.334 0.753
0.500 0.500 0.000
0.167 0.833 0.500
0.169 0.831 0.000
0.500 0.500 0.500
0.831 0.169 0.000
0.833 0.167 0.500
```

**Total magnetic moment**: 0.000 μB per atom
**Space group**: Cmmm
**E_form**: -919.2 kJ/mol of formula units
**Total DFT energy (no corrections)**: -9.336 eV per atom
**DOS at the Fermi energy**: 0.5484 states/eV/atom



# 8
A plane-wave DFT calculation with GGA-PBE was carried out for crystalline HgRhCl at its relaxed geometry.

```
HgRhCl
1.0
6.564 0.000 0.000
0.000 6.564 0.000
0.000 0.000 6.564
Hg Rh Cl
4 4 4
direct
0.000 0.000 0.000
0.000 0.500 0.500
0.500 0.000 0.500
0.500 0.500 0.000
0.250 0.250 0.750
0.250 0.750 0.250
0.750 0.250 0.250
0.750 0.750 0.750
0.250 0.250 0.250
0.250 0.750 0.750
0.750 0.250 0.750
0.750 0.750 0.250
```

**Total magnetic moment**: 0.194 μB per atom
**Space group**: F-43m
**Excess energy over the best structure of this formula in the dataset**: 1.73 eV per formula unit
**Total DFT energy (no corrections)**: -2.454 eV per atom
**DOS at the Fermi energy**: 1.3050 states/eV/atom



# 9
A plane-wave DFT calculation with GGA-PBE was carried out for crystalline V2HPt at its relaxed geometry.

```
V2HPt
1.0
2.698 0.000 0.000
-1.349 2.337 0.000
0.000 0.000 22.422
V H Pt
6 3 3
direct
0.000 0.000 0.112
0.000 0.000 0.888
0.333 0.667 0.554
0.333 0.667 0.779
0.667 0.333 0.221
0.667 0.333 0.446
0.000 0.000 0.500
0.333 0.667 0.167
0.667 0.333 0.833
0.000 0.000 0.000
0.333 0.667 0.667
0.667 0.333 0.333
```

**Total magnetic moment**: 0.000 μB per atom
**Space group**: R-3m
**Excess energy over the best structure of this formula in the dataset**: 0.76 eV per formula unit
**Total DFT energy (no corrections)**: -6.807 eV per atom
**DOS at the Fermi energy**: 1.3160 states/eV/atom



# 10
A plane-wave DFT calculation with GGA-PBE was carried out for crystalline AgTe2O at its relaxed geometry.

```
AgTe2O
1.0
3.303 0.000 0.000
-1.651 2.860 0.000
0.000 0.000 27.561
Ag Te O
3 6 3
direct
0.000 0.000 0.000
0.333 0.667 0.667
0.667 0.333 0.333
0.000 0.000 0.426
0.000 0.000 0.574
0.333 0.667 0.093
0.333 0.667 0.240
0.667 0.333 0.760
0.667 0.333 0.907
0.000 0.000 0.500
0.333 0.667 0.167
0.667 0.333 0.833
```

**Total magnetic moment**: 0.000 μB per atom
**Space group**: R-3m
**Excess energy over the best structure of this formula in the dataset**: 0.17 eV per formula unit
**Total DFT energy (no corrections)**: -3.434 eV per atom
**DOS at the Fermi energy**: 0.5222 states/eV/atom



# 11
A plane-wave DFT calculation with GGA-PBE was carried out for crystalline NaBiAu at its relaxed geometry.

```
NaBiAu
1.0
10.949 0.000 0.000
0.000 4.571 0.000
-4.496 0.000 6.479
Na Bi Au
4 4 4
direct
0.082 0.000 0.358
0.418 0.500 0.642
0.582 0.500 0.358
0.918 0.000 0.642
0.171 0.500 0.088
0.329 0.000 0.912
0.671 0.000 0.088
0.829 0.500 0.912
0.137 0.500 0.683
0.363 0.000 0.317
0.637 0.000 0.683
0.863 0.500 0.317
```

**Total magnetic moment**: 0.000 μB per atom
**Space group**: C2/m
**E_form**: -70.0 kJ/mol of formula units
**Excess energy over the best structure of this formula in the dataset**: 0.14 eV per formula unit
**Total DFT energy (no corrections)**: -3.068 eV per atom
**DOS at the Fermi energy**: 0.4247 states/eV/atom